No. 1
This record from Alexandria via LeMat-Bulk describes K2MgNpS4 after structural relaxation. The functional is PBE-GGA. Values from VASP.

Cell and atoms, written as Quantum ESPRESSO input:
```
&SYSTEM
  ibrav = 0, nat = 8, ntyp = 4
/
ATOMIC_SPECIES
K 39.10 K.upf
Mg 24.30 Mg.upf
Np 237.00 Np.upf
S 32.06 S.upf
CELL_PARAMETERS angstrom
-0.664 -3.828 1.033
6.558 -1.412 -1.016
-0.816 2.123 7.344
ATOMIC_POSITIONS crystal
K 0.500 0.000 0.500
K 0.000 0.500 0.500
Mg 0.000 0.000 0.000
Np 0.500 0.500 0.000
S 0.500 0.231 0.192
S 0.500 0.769 0.808
S 0.000 0.268 0.800
S 0.000 0.732 0.200
```

## Properties
The symmetry is P2/m (10). For the uncorrected formation energy, the calculation gives -1.344 eV/atom. Its spin magnetization is 3.00 μB per formula unit.

=====

No. 2
This record from Alexandria via LeMat-Bulk describes La2Pm2Nd4Ho after structural relaxation. The functional is PBE-GGA. Values from VASP.

Cell and atoms, written as Quantum ESPRESSO input:
```
&SYSTEM
  ibrav = 0, nat = 9, ntyp = 4
/
ATOMIC_SPECIES
La 138.91 La.upf
Pm 145.00 Pm.upf
Nd 144.24 Nd.upf
Ho 164.93 Ho.upf
CELL_PARAMETERS angstrom
3.707 0.000 0.000
-1.854 9.589 -0.474
0.000 -3.804 9.081
ATOMIC_POSITIONS crystal
La 0.335 0.670 0.001
La 0.665 0.330 0.999
Pm 0.853 0.705 0.333
Pm 0.147 0.295 0.667
Nd 0.815 0.629 0.667
Nd 0.185 0.371 0.333
Nd 0.518 0.037 0.331
Nd 0.482 0.963 0.669
Ho 0.000 0.000 0.000
```

## Properties
For the energy relative to the elements, the calculation gives 0.011 eV/atom. The symmetry is C2/m (12). Its spin magnetization is 0.00 μB per formula unit.

=====

No. 3
This record from Alexandria via LeMat-Bulk describes Zr2Pt after structural relaxation. The functional is PBE-GGA. Values from VASP.

Cell and atoms, written as Quantum ESPRESSO input:
```
&SYSTEM
  ibrav = 0, nat = 3, ntyp = 2
/
ATOMIC_SPECIES
Pt 195.08 Pt.upf
Zr 91.22 Zr.upf
CELL_PARAMETERS angstrom
4.589 0.000 0.000
0.000 4.589 0.000
0.000 0.000 3.285
ATOMIC_POSITIONS crystal
Pt 0.000 0.000 0.000
Zr 0.000 0.500 0.500
Zr 0.500 0.000 0.500
```

## Properties
For the energy relative to the elements, the calculation gives -0.383 eV/atom. The symmetry is P4/mmm (123). Its spin magnetization is 0.00 μB per formula unit.

=====

No. 4
This record from Alexandria via LeMat-Bulk describes Pm4GaAg after structural relaxation. The functional is PBE-GGA. Values from VASP.

Cell and atoms, written as Quantum ESPRESSO input:
```
&SYSTEM
  ibrav = 0, nat = 12, ntyp = 3
/
ATOMIC_SPECIES
Pm 145.00 Pm.upf
Ga 69.72 Ga.upf
Ag 107.87 Ag.upf
CELL_PARAMETERS angstrom
5.280 0.000 0.000
0.000 6.442 0.000
-2.640 0.000 11.173
ATOMIC_POSITIONS crystal
Pm 0.877 0.289 0.754
Pm 0.123 0.789 0.246
Pm 0.437 0.857 0.875
Pm 0.563 0.357 0.125
Pm 0.716 0.552 0.433
Pm 0.284 0.052 0.567
Pm 0.692 0.074 0.385
Pm 0.308 0.574 0.615
Ga 0.840 0.814 0.680
Ga 0.160 0.314 0.320
Ag 0.571 0.849 0.141
Ag 0.429 0.349 0.859
```

## Properties
For the energy relative to the elements, the calculation gives -0.072 eV/atom. The symmetry is Cmc2_1 (36). Its spin magnetization is 0.00 μB per formula unit.

=====

No. 5
This record from Alexandria via LeMat-Bulk describes Hf3TePd after structural relaxation. The functional is PBE-GGA. Values from VASP.

Cell and atoms, written as Quantum ESPRESSO input:
```
&SYSTEM
  ibrav = 0, nat = 5, ntyp = 3
/
ATOMIC_SPECIES
Te 127.60 Te.upf
Hf 178.49 Hf.upf
Pd 106.42 Pd.upf
CELL_PARAMETERS angstrom
-4.323 1.120 2.337
1.768 -2.049 4.252
1.895 4.467 1.365
ATOMIC_POSITIONS crystal
Te 0.500 0.500 0.500
Hf 0.000 0.500 0.000
Hf 0.000 0.000 0.500
Hf 0.500 0.000 0.000
Pd 0.000 0.000 0.000
```

## Properties
The symmetry is Pm-3m (221). For the uncorrected formation energy, the calculation gives 0.256 eV/atom. Its spin magnetization is 0.00 μB per formula unit.

=====

No. 6
This record from Alexandria via LeMat-Bulk describes AsP3W after structural relaxation. The functional is PBE-GGA. Values from VASP.

Cell and atoms, written as Quantum ESPRESSO input:
```
&SYSTEM
  ibrav = 0, nat = 5, ntyp = 3
/
ATOMIC_SPECIES
P 30.97 P.upf
As 74.92 As.upf
W 183.84 W.upf
CELL_PARAMETERS angstrom
4.705 0.000 0.000
0.000 4.705 0.000
0.000 0.000 4.705
ATOMIC_POSITIONS crystal
P 0.000 0.500 0.000
P 0.000 0.000 0.500
P 0.500 0.000 0.000
As 0.500 0.500 0.500
W 0.000 0.000 0.000
```

## Properties
For the energy relative to the elements, the calculation gives 0.767 eV/atom. The symmetry is Pm-3m (221). Its spin magnetization is 0.20 μB per formula unit.

=====

No. 7
This record from Alexandria via LeMat-Bulk describes Tb3YSc3Se8 after structural relaxation. The functional is PBE-GGA. Values from VASP.

Cell and atoms, written as Quantum ESPRESSO input:
```
&SYSTEM
  ibrav = 0, nat = 15, ntyp = 4
/
ATOMIC_SPECIES
Tb 158.93 Tb.upf
Y 88.91 Y.upf
Sc 44.96 Sc.upf
Se 78.96 Se.upf
CELL_PARAMETERS angstrom
7.932 0.000 0.000
-3.966 6.870 -0.024
0.000 -4.557 6.557
ATOMIC_POSITIONS crystal
Tb 0.000 0.000 0.000
Tb 0.000 0.500 0.000
Tb 0.500 0.500 0.000
Y 0.000 0.000 0.500
Sc 0.500 0.000 0.500
Sc 0.500 0.500 0.500
Sc 0.000 0.500 0.500
Se 0.255 0.511 0.267
Se 0.745 0.489 0.733
Se 0.743 0.487 0.254
Se 0.257 0.513 0.746
Se 0.743 0.011 0.254
Se 0.257 0.989 0.746
Se 0.268 0.011 0.254
Se 0.732 0.989 0.746
```

## Properties
The symmetry is R-3m (166). For the uncorrected formation energy, the calculation gives -1.767 eV/atom. Its spin magnetization is 0.00 μB per formula unit.

=====

No. 8
This record from Alexandria via LeMat-Bulk describes TiGaFe2H after structural relaxation. The functional is PBE-GGA. Values from VASP.

Cell and atoms, written as Quantum ESPRESSO input:
```
&SYSTEM
  ibrav = 0, nat = 5, ntyp = 4
/
ATOMIC_SPECIES
H 1.01 H.upf
Fe 55.84 Fe.upf
Ga 69.72 Ga.upf
Ti 47.87 Ti.upf
CELL_PARAMETERS angstrom
-2.096 0.292 3.115
-3.101 -0.691 -2.022
0.416 -3.701 0.627
ATOMIC_POSITIONS crystal
H 0.000 0.000 0.000
Fe 0.000 0.500 0.000
Fe 0.500 0.000 0.000
Ga 0.500 0.500 0.500
Ti 0.000 0.000 0.500
```

## Properties
The calculation puts the total energy at -6.4649 eV per atom. The symmetry is P4/mmm (123). Its spin magnetization is 2.31 μB per formula unit.

=====

No. 9
This record from Alexandria via LeMat-Bulk describes Y2ThIr9 after structural relaxation. The functional is PBE-GGA. Values from VASP.

Cell and atoms, written as Quantum ESPRESSO input:
```
&SYSTEM
  ibrav = 0, nat = 12, ntyp = 3
/
ATOMIC_SPECIES
Y 88.91 Y.upf
Th 232.04 Th.upf
Ir 192.22 Ir.upf
CELL_PARAMETERS angstrom
5.335 0.000 0.000
2.667 4.620 0.000
2.667 1.540 8.801
ATOMIC_POSITIONS crystal
Y 0.860 0.860 0.421
Y 0.140 0.140 0.579
Th 0.000 0.000 0.000
Ir 0.667 0.667 0.999
Ir 0.333 0.333 0.001
Ir 0.500 0.500 0.500
Ir 0.418 0.418 0.248
Ir 0.917 0.418 0.248
Ir 0.418 0.917 0.248
Ir 0.582 0.582 0.752
Ir 0.582 0.083 0.752
Ir 0.083 0.582 0.752
```

## Properties
For the energy relative to the elements, the calculation gives -0.635 eV/atom. The symmetry is R-3m (166). Its spin magnetization is 0.00 μB per formula unit.

=====

No. 10
This record from Alexandria via LeMat-Bulk describes Ta2Ti5Zn2 after structural relaxation. The functional is PBE-GGA. Values from VASP.

Cell and atoms, written as Quantum ESPRESSO input:
```
&SYSTEM
  ibrav = 0, nat = 9, ntyp = 3
/
ATOMIC_SPECIES
Ta 180.95 Ta.upf
Ti 47.87 Ti.upf
Zn 65.41 Zn.upf
CELL_PARAMETERS angstrom
2.851 -0.006 -0.245
0.095 7.746 0.665
0.822 1.022 6.908
ATOMIC_POSITIONS crystal
Ta 0.832 0.893 0.670
Ta 0.168 0.107 0.330
Ti 0.522 0.769 0.363
Ti 0.478 0.231 0.637
Ti 0.049 0.542 0.688
Ti 0.951 0.458 0.312
Ti 0.000 0.000 0.000
Zn 0.445 0.672 0.001
Zn 0.555 0.328 0.999
```

## Properties
For the energy relative to the elements, the calculation gives -0.005 eV/atom. The symmetry is P-1 (2). Its spin magnetization is 0.00 μB per formula unit.

=====

No. 11
This record from Alexandria via LeMat-Bulk describes YFe2GeH after structural relaxation. The functional is PBE-GGA. Values from VASP.

Cell and atoms, written as Quantum ESPRESSO input:
```
&SYSTEM
  ibrav = 0, nat = 10, ntyp = 4
/
ATOMIC_SPECIES
Y 88.91 Y.upf
Fe 55.84 Fe.upf
Ge 72.64 Ge.upf
H 1.01 H.upf
CELL_PARAMETERS angstrom
3.581 0.000 0.000
-1.790 5.224 0.000
0.000 0.000 7.307
ATOMIC_POSITIONS crystal
Y 0.458 0.916 0.750
Y 0.542 0.084 0.250
Fe 0.166 0.332 0.946
Fe 0.834 0.668 0.054
Fe 0.166 0.332 0.554
Fe 0.834 0.668 0.446
Ge 0.737 0.474 0.750
Ge 0.263 0.526 0.250
H 0.000 0.000 0.000
H 0.000 0.000 0.500
```

## Properties
The calculation puts the total energy at -6.6410 eV per atom. The symmetry is Cmcm (63). Its spin magnetization is 3.72 μB per formula unit.

=====

No. 12
This record from Alexandria via LeMat-Bulk describes Nd6Er2Pu after structural relaxation. The functional is PBE-GGA. Values from VASP.

Cell and atoms, written as Quantum ESPRESSO input:
```
&SYSTEM
  ibrav = 0, nat = 18, ntyp = 3
/
ATOMIC_SPECIES
Nd 144.24 Nd.upf
Er 167.26 Er.upf
Pu 244.00 Pu.upf
CELL_PARAMETERS angstrom
-5.501 4.520 -0.357
-3.336 -3.494 7.171
9.353 11.077 -3.874
ATOMIC_POSITIONS crystal
Nd 0.000 0.251 0.826
Nd 0.256 0.248 0.451
Nd 0.244 0.252 0.049
Nd 0.744 0.248 0.451
Nd 0.756 0.252 0.049
Nd 0.500 0.249 0.674
Nd 0.000 0.749 0.174
Nd 0.744 0.752 0.549
Nd 0.756 0.748 0.951
Nd 0.256 0.752 0.549
Nd 0.244 0.748 0.951
Nd 0.500 0.751 0.326
Er 0.500 0.197 0.232
Er 0.000 0.303 0.268
Er 0.000 0.697 0.732
Er 0.500 0.803 0.768
Pu 0.500 0.500 0.000
Pu 0.000 0.000 0.500
```

## Properties
For the energy relative to the elements, the calculation gives 0.185 eV/atom. The symmetry is C2/m (12). Its spin magnetization is 6.57 μB per formula unit.

=====

Which formula does entry 10 have?
Ta2Ti5Zn2

=====

Which value of spin magnetization does entry 9 give?
0.00 μB per formula unit

=====

What is the formula in the sixth record?
AsP3W

=====

spin magnetization of number 9 (Y2ThIr9)?
0.00 μB per formula unit